NiBMoAu | PBE | relaxed

Properties
Magnetization   0.11 μB/atom
E   -6.0934 eV/atom
Crystal system   cubic
E above lowest polymorph   0 meV/atom

Cell lengths 4.140, 4.140, 4.140 Å; angles 60.00, 60.00, 60.00 degrees
Positions (direct):
B 0.000 0.000 0.000
Mo 0.750 0.750 0.750
Au 0.250 0.250 0.250
Ni 0.500 0.500 0.500